1.
A plane-wave DFT calculation with PBE was carried out for crystalline Th2Co3B12W at its relaxed geometry.

Properties
* total DFT energy (no corrections): -7.07 eV per atom
* formation energy: 2.1 eV/f.u.

Lattice parameters (Å, degrees): 7.950 7.950 7.950 43.33 43.33 43.33
Last column: magnetic moment on the atom in μB.
Fractional positions:
1 B 0.916 0.376 0.916  0.01
2 B 0.034 0.335 0.335  0.02
3 B 0.084 0.084 0.624  0.01
4 B 0.335 0.034 0.335  0.02
5 B 0.376 0.916 0.916  0.01
6 B 0.624 0.084 0.084  0.01
7 B 0.966 0.665 0.665  0.02
8 B 0.916 0.916 0.376  0.01
9 B 0.665 0.665 0.966  0.02
10 B 0.084 0.624 0.084  0.01
11 B 0.665 0.966 0.665  0.02
12 B 0.335 0.335 0.034  0.02
13 Th 0.629 0.629 0.629  0.08
14 Th 0.371 0.371 0.371  0.08
15 Co 0.500 0.000 0.000  1.05
16 Co 0.000 0.500 0.000  1.05
17 Co 0.000 0.000 0.500  1.05
18 W 0.000 0.000 0.000  0.14



2.
A plane-wave DFT calculation with PBE was carried out for crystalline K2MoCl8 at its relaxed geometry.

Properties
* total DFT energy (no corrections): -3.63 eV per atom
* energy relative to the lowest polymorph listed for this composition: 0 meV/atom

Lattice parameters (Å, degrees): 6.162 7.902 7.902 78.39 91.96 91.96
Last column: magnetic moment on the atom in μB.
Fractional positions:
1 Cl 0.842 0.049 0.726  0.00
2 Cl 0.842 0.726 0.049  0.00
3 Cl 0.158 0.274 0.951  0.00
4 Cl 0.696 0.106 0.106  0.00
5 Cl 0.158 0.951 0.274  0.00
6 Cl 0.304 0.894 0.894  0.00
7 Cl 0.760 0.629 0.629  0.07
8 Cl 0.240 0.371 0.371  0.07
9 K 0.259 0.621 0.621  0.00
10 K 0.741 0.379 0.379  0.00
11 Mo 0.000 0.000 0.000  -0.06



3.
A plane-wave DFT calculation with PBE was carried out for crystalline TlAsH2Cl8 at its relaxed geometry.

Properties
* total DFT energy (no corrections): -2.95 eV per atom

Lattice parameters (Å, degrees): 6.923 6.643 7.551 89.78 90.28 96.50
Fractional positions:
1 H 0.306 0.254 0.765
2 H 0.694 0.746 0.235
3 Tl 0.000 0.000 0.500
4 Cl 0.881 0.224 0.234
5 Cl 0.119 0.776 0.766
6 Cl 0.693 0.746 0.041
7 Cl 0.173 0.820 0.236
8 Cl 0.694 0.744 0.459
9 Cl 0.306 0.256 0.541
10 Cl 0.827 0.180 0.764
11 Cl 0.307 0.254 0.959
12 As 0.000 0.000 0.000



4.
A plane-wave DFT calculation with PBE was carried out for crystalline Th2TcSn at its relaxed geometry.

Properties
* total DFT energy (no corrections): -7.58 eV per atom
* energy relative to the lowest polymorph listed for this composition: 89 meV/atom
* formation energy: -1.1 eV/f.u.

Lattice parameters (Å, degrees): 6.192 6.500 11.427 107.79 90.00 90.00
Fractional positions:
1 Sn 0.666 0.927 0.575
2 Sn 0.666 0.573 0.925
3 Sn 0.334 0.427 0.075
4 Sn 0.334 0.073 0.425
5 Th 0.158 0.951 0.671
6 Th 0.842 0.451 0.171
7 Th 0.336 0.954 0.120
8 Th 0.664 0.046 0.880
9 Th 0.158 0.549 0.829
10 Th 0.842 0.049 0.329
11 Th 0.664 0.454 0.620
12 Th 0.336 0.546 0.380
13 Tc 0.165 0.458 0.581
14 Tc 0.835 0.958 0.081
15 Tc 0.835 0.542 0.419
16 Tc 0.165 0.042 0.919